Record 1
PAu, relaxed, DFT PBE; energy relative to the lowest polymorph listed for this composition = 144 meV per atom; final energy = -4.33 eV per atom; size of the total moment = 0.00 μB per cell; D(E_F) = 0.71 states/eV/f.u.; SG = No. 164; ΔE_f = 16.3 meV/atom
1.0
-2.4646 -1.9220 2.4881
3.8757 0.3507 0.9029
-1.0694 4.8671 2.7003
P Au
2 2
Cartesian
-0.7355 3.3472 1.8571
-0.3340 1.5199 0.8433
0.8679 3.6634 3.6895
-0.5263 -0.3675 2.4018


Record 2
PAu, relaxed, DFT PBE; energy relative to the lowest polymorph listed for this composition = 270 meV per atom; final energy = -4.20 eV per atom; size of the total moment = 0.00 μB per cell; D(E_F) = 0.80 states/eV/f.u.; SG = No. 12; ΔE_f = 142.3 meV/atom
1.0
6.9841 -0.0194 -0.0079
5.1967 3.1006 0.0332
0.9295 0.4872 3.4363
Au P
2 2
Cartesian
6.8852 0.1248 -0.0016
10.2296 2.0120 2.5830
6.7363 2.0912 1.6383
8.5910 3.1656 0.9843


Record 3
PAu, relaxed, DFT PBE; energy relative to the lowest polymorph listed for this composition = 243 meV per atom; final energy = -4.23 eV per atom; size of the total moment = 0.00 μB per cell; D(E_F) = 0.49 states/eV/f.u.; SG = No. 19; ΔE_f = 115.3 meV/atom
1.0
9.7600 0.0000 0.0000
0.0000 5.9368 0.0000
0.0000 0.0000 7.5500
P Au
8 8
Cartesian
3.8959 3.2694 0.5478
8.7759 5.6358 7.0023
5.8641 0.3010 3.2273
0.9841 2.6674 4.3228
2.0477 0.8883 4.8687
6.9277 2.0801 2.6813
7.7124 3.8567 6.4563
2.8324 5.0485 1.0937
6.3171 3.2884 0.7065
1.4371 5.6168 6.8435
3.4430 0.3200 3.0685
8.3230 2.6484 4.4815
2.5105 2.9397 6.2051
7.3905 0.0287 1.3449
7.2496 5.9081 5.1199
2.3695 2.9971 2.4301


Which of these has the highest D(E_F)? number 2


Number 2 is which compound? PAu


Among the records above, which one has the lowest D(E_F)? number 3


Please write out number 2 again, unchanged.
PAu, relaxed, DFT PBE; energy relative to the lowest polymorph listed for this composition = 270 meV per atom; final energy = -4.20 eV per atom; size of the total moment = 0.00 μB per cell; D(E_F) = 0.80 states/eV/f.u.; SG = No. 12; ΔE_f = 142.3 meV/atom
1.0
6.9841 -0.0194 -0.0079
5.1967 3.1006 0.0332
0.9295 0.4872 3.4363
Au P
2 2
Cartesian
6.8852 0.1248 -0.0016
10.2296 2.0120 2.5830
6.7363 2.0912 1.6383
8.5910 3.1656 0.9843